This record from the Alexandria database describes Tl2Fe2WO6 after structural relaxation. The functional is PBE with a Hubbard U.

As for the final energy: -6.205 eV per atom.

It has space group C2/m (No. 12), with a = 5.563 Å, b = 9.441 Å, c = 6.900 Å, α = 90.00°, β = 108.69° and γ = 90.00°. The inequivalent atoms are Tl at (0.000, 0.172, 0.000), Fe at (0.000, 0.333, 0.500), W at (0.000, 0.000, 0.500), O at (0.206, 0.152, 0.666) and O at (0.244, 0.000, 0.343).